# 1
This record from the Alexandria database describes a relaxed FeSbPt crystal. The functional is PBE.

It has space group P3m1 (No. 156), with a = 4.1042 Å, b = 4.1042 Å, c = 3.8349 Å, α = 90.00°, β = 90.00° and γ = 120.00°. The distinct sites, in fractional coordinates, are Fe at (0.0000, 0.0000, 0.0000), Sb at (0.3333, 0.6667, 0.6078) and Pt at (0.6667, 0.3333, 0.2310).

The value obtained for the final energy is -6.09 eV/atom. For the formation energy without anion corrections, the calculation gives 0.12 eV/atom.


# 2
This record from the Alexandria database describes a relaxed HgOs2Pt2 crystal. The functional is PBE.

It has space group P4/mbm (No. 127), with a = 7.822 Å, b = 7.822 Å, c = 2.769 Å, α = 90.00°, β = 90.00° and γ = 90.00°. The distinct sites, in fractional coordinates, are Hg at (0.000, 0.000, 0.000), Os at (0.117, 0.383, 0.000) and Pt at (0.179, 0.679, 0.500).

The energy of formation comes out at 524 meV/atom. The value obtained for the final energy is -6.44 eV/atom. For the polymorph energy (0 for the lowest one), the calculation gives 0 meV per atom.


# 3
This record from the Alexandria database describes a relaxed LaNd2Sm3Se6 crystal. The functional is PBE.

It has space group C2/m (No. 12), with a = 7.274 Å, b = 12.663 Å, c = 7.316 Å, α = 90.00°, β = 109.46° and γ = 90.00°. The distinct sites, in fractional coordinates, are La at (0.000, 0.000, 0.000), Nd at (0.000, 0.332, 0.000), Sm at (0.000, 0.167, 0.500), Sm at (0.000, 0.500, 0.500), Se at (0.246, 0.332, 0.743) and Se at (0.250, 0.000, 0.744).

The value obtained for the final energy is -5.99 eV/atom. For the formation energy without anion corrections, the calculation gives -1.86 eV/atom.


# 4
This record from the Alexandria database describes a relaxed Cu5SiPd6 crystal. The functional is PBE.

It has space group Cmmm (No. 65), with a = 4.262 Å, b = 12.784 Å, c = 6.018 Å, α = 90.00°, β = 90.00° and γ = 90.00°. The distinct sites, in fractional coordinates, are Cu at (0.000, 0.000, 0.000), Cu at (0.000, 0.325, 0.500), Cu at (0.000, 0.330, 0.000), Si at (0.000, 0.000, 0.500), Pd at (0.000, 0.159, 0.256) and Pd at (0.000, 0.500, 0.263).

The value obtained for the final energy is -5.04 eV/atom. For the formation energy without anion corrections, the calculation gives -0.28 eV/atom.


# 5
This record from the Alexandria database describes a relaxed AlZn3N crystal. The functional is PBE.

It has space group Pm-3m (No. 221), with a = 4.899 Å, b = 4.899 Å, c = 4.899 Å, α = 90.00°, β = 90.00° and γ = 90.00°. The distinct sites, in fractional coordinates, are Al at (0.000, 0.000, 0.000), Zn at (0.000, 0.000, 0.500) and N at (0.500, 0.500, 0.500).

The value obtained for the final energy is -1.84 eV/atom. For the polymorph energy (0 for the lowest one), the calculation gives 892 meV per atom. For the formation energy without anion corrections, the calculation gives 1.33 eV/atom.


# 6
This record from the Alexandria database describes a relaxed K3LiPu3O8 crystal. The functional is PBE.

It has space group R-3m (No. 166, hexagonal axes), with a = 6.8886 Å, b = 6.8886 Å, c = 18.7022 Å, α = 90.00°, β = 90.00° and γ = 120.00°. The distinct sites, in fractional coordinates, are K at (0.0000, 0.5000, 0.0000), Li at (0.0000, 0.0000, 0.5000), Pu at (0.0000, 0.5000, 0.5000), O at (0.0000, 0.0000, 0.2312) and O at (0.0189, 0.5094, 0.7761).

The value obtained for the final energy is -8.30 eV/atom. For the formation energy without anion corrections, the calculation gives -2.44 eV/atom.


# 7
This record from the Alexandria database describes a relaxed ZnNi2H crystal. The functional is PBE.

It has space group Fm-3m (No. 225), with a = 5.474 Å, b = 5.474 Å, c = 5.474 Å, α = 90.00°, β = 90.00° and γ = 90.00°. The distinct sites, in fractional coordinates, are Zn at (0.000, 0.000, 0.000), Ni at (0.250, 0.250, 0.250) and H at (0.000, 0.000, 0.500).

The value obtained for the final energy is -3.68 eV/atom. For the polymorph energy (0 for the lowest one), the calculation gives 493 meV per atom.


# 8
This record from the Alexandria database describes a relaxed ZnCd2In2Hg2 crystal. The functional is PBE.

It has space group P-1 (No. 2), with a = 3.527 Å, b = 7.195 Å, c = 7.518 Å, α = 111.00°, β = 103.53° and γ = 94.02°. The distinct sites, in fractional coordinates, are Zn at (0.000, 0.000, 0.000), Cd at (0.231, 0.135, 0.424), In at (0.465, 0.256, 0.884) and Hg at (0.119, 0.472, 0.292).

The energy of formation comes out at 60 meV/atom. The value obtained for the final energy is -1.25 eV/atom.


# 9
This record from the Alexandria database describes a relaxed Li2AlTc crystal. The functional is PBE.

It has space group I-42d (No. 122), with a = 6.881 Å, b = 6.881 Å, c = 4.947 Å, α = 90.00°, β = 90.00° and γ = 90.00°. The distinct sites, in fractional coordinates, are Li at (0.245, 0.750, 0.125), Al at (0.000, 0.000, 0.000) and Tc at (0.000, 0.000, 0.500).

The energy of formation comes out at 471 meV/atom. The value obtained for the final energy is -4.01 eV/atom.


# 10
This record from the Alexandria database describes a relaxed Ga2OsBr crystal. The functional is PBE.

It has space group Fm-3m (No. 225), with a = 6.654 Å, b = 6.654 Å, c = 6.654 Å, α = 90.00°, β = 90.00° and γ = 90.00°. The distinct sites, in fractional coordinates, are Ga at (0.250, 0.250, 0.250), Os at (0.000, 0.000, 0.000) and Br at (0.000, 0.000, 0.500).

The value obtained for the final energy is -3.83 eV/atom. For the polymorph energy (0 for the lowest one), the calculation gives 412 meV per atom. For the formation energy without anion corrections, the calculation gives 0.90 eV/atom.


# 11
This record from the Alexandria database describes a relaxed Cu2PSe crystal. The functional is PBE.

It has space group Cm (No. 8), with a = 7.815 Å, b = 2.738 Å, c = 6.375 Å, α = 90.00°, β = 97.40° and γ = 90.00°. The distinct sites, in fractional coordinates, are Cu at (0.000, 0.000, 0.000), Cu at (0.186, 0.500, 0.755), P at (0.289, 0.000, 0.101) and Se at (0.390, 0.000, 0.546).

The value obtained for the final energy is -4.19 eV/atom. For the formation energy without anion corrections, the calculation gives 0.08 eV/atom.


# 12
This record from the Alexandria database describes a relaxed NaHg crystal. The functional is PBE.

It has space group Pm-3n (No. 223), with a = 8.648 Å, b = 8.648 Å, c = 8.648 Å, α = 90.00°, β = 90.00° and γ = 90.00°. The distinct sites, in fractional coordinates, are Na at (0.000, 0.250, 0.500) and Hg at (0.000, 0.500, 0.250).

The energy of formation comes out at 139 meV/atom. The value obtained for the final energy is -0.67 eV/atom.


# 13
This record from the Alexandria database describes a relaxed NaYPb2S4 crystal. The functional is PBE.

It has space group P2/m (No. 10), with a = 7.086 Å, b = 4.108 Å, c = 7.181 Å, α = 90.00°, β = 108.42° and γ = 90.00°. The distinct sites, in fractional coordinates, are Na at (0.000, 0.000, 0.000), Y at (0.500, 0.500, 0.000), Pb at (0.000, 0.500, 0.500), Pb at (0.500, 0.000, 0.500), S at (0.258, 0.500, 0.234) and S at (0.266, 0.000, 0.774).

The value obtained for the final energy is -5.10 eV/atom. For the formation energy without anion corrections, the calculation gives -1.14 eV/atom.